First-principles (GGA-PBEsol) data for LaOs2W2 after structural relaxation, as listed in Alexandria.

```
LaOs2W2
1.0
4.345 0.000 0.000
0.000 4.345 0.000
-2.173 -2.173 5.263
Os W La
2 2 1
direct
0.373 0.373 0.745
0.627 0.627 0.255
0.250 0.750 0.500
0.750 0.250 0.500
0.000 0.000 0.000
```

Total magnetization in μB/cell: 0.0
Energy relative to the lowest polymorph listed for this composition in eV per formula unit: 0.00
DFT total energy in eV per atom: -11.4278
Space group: No. 139